Entry from Alexandria via LeMat-Bulk: crystalline KCd3Pt at its relaxed geometry (PBE-GGA).

Calculated values
Offset from the most stable computed form, meV/atom: 481
ΔE_f, meV per atom: 226
Density, g/cm3: 4.81
Space-group type: R3m
N(E_F), states/eV per cell: 5.78

Unit cell a=5.7518 b=5.7518 c=20.6713 alpha=90.00 beta=90.00 gamma=120.00
With the nearest neighbours (Å) after each atom.
Fractional positions:
K 0.0000 0.0000 0.0000  3 Pt 3.54, 6 Cd 3.75-3.90
K 0.3333 0.6667 0.6667  3 Pt 3.54, 6 Cd 3.75-3.90
K 0.6667 0.3333 0.3333  3 Pt 3.54, 6 Cd 3.75-3.90
Cd 0.1679 0.3358 0.8294  1 Pt 2.71, 4 Cd 2.85-2.90
Cd 0.1679 0.8321 0.8294  1 Pt 2.71, 4 Cd 2.85-2.90
Cd 0.3309 0.1655 0.1628  1 Pt 2.71, 4 Cd 2.85-2.90
Cd 0.5012 0.0024 0.4961  1 Pt 2.71, 4 Cd 2.85-2.90
Cd 0.5012 0.4988 0.4961  1 Pt 2.71, 4 Cd 2.85-2.90
Cd 0.6642 0.8321 0.8294  1 Pt 2.71, 4 Cd 2.85-2.90
Cd 0.8346 0.1655 0.1628  1 Pt 2.71, 4 Cd 2.85-2.90
Cd 0.8346 0.6691 0.1628  1 Pt 2.71, 4 Cd 2.85-2.90
Cd 0.9976 0.4988 0.4961  1 Pt 2.71, 4 Cd 2.85-2.90
Pt 0.0000 0.0000 0.7265  3 Cd 2.71
Pt 0.3333 0.6667 0.3932  3 Cd 2.71
Pt 0.6667 0.3333 0.0599  3 Cd 2.71

=====

Entry from Alexandria via LeMat-Bulk: crystalline LaAgOs2 at its relaxed geometry (PBE-GGA).

Calculated values
Offset from the most stable computed form, meV/atom: 354
ΔE_f, meV per atom: 640
Density, g/cm3: 13.68
Space-group type: P2/m
N(E_F), states/eV per cell: 4.48

Unit cell a=2.8689 b=4.8508 c=5.5059 alpha=90.00 beta=96.46 gamma=90.00
With the nearest neighbours (Å) after each atom.
Fractional positions:
La 0.0000 0.0000 0.0000  2 La 2.87, 2 Ag 2.96, 4 Os 3.09
Ag 0.5000 0.0000 0.5000  4 Os 2.76, 2 Ag 2.87, 2 La 2.96
Os 0.2935 0.5000 0.7029  4 Os 2.64-2.87, 2 Ag 2.76
Os 0.7065 0.5000 0.2971  4 Os 2.64-2.87, 2 Ag 2.76

=====

Entry from Alexandria via LeMat-Bulk: crystalline NiMoSe2 at its relaxed geometry (PBE-GGA).

Calculated values
Offset from the most stable computed form, meV/atom: 264
Energy relative to the elements, uncorrected, eV per formula unit: -0.19
Density, g/cm3: 5.72
Space-group type: Immm
N(E_F), states/eV per cell: 6.56

Unit cell a=3.4916 b=3.9572 c=13.1296 alpha=90.00 beta=90.00 gamma=90.00
With the nearest neighbours (Å) after each atom.
Fractional positions:
Ni 0.0000 0.0000 0.0000  4 Se 2.42, 4 Mo 2.64
Ni 0.5000 0.5000 0.5000  4 Se 2.42, 4 Mo 2.64
Mo 0.0000 0.0000 0.5000  4 Se 2.59, 4 Ni 2.64
Mo 0.5000 0.5000 0.0000  4 Se 2.59, 4 Ni 2.64
Se 0.0000 0.5000 0.3723  2 Ni 2.42, 2 Mo 2.59
Se 0.0000 0.5000 0.6277  2 Ni 2.42, 2 Mo 2.59
Se 0.5000 0.0000 0.1277  2 Ni 2.42, 2 Mo 2.59
Se 0.5000 0.0000 0.8723  2 Ni 2.42, 2 Mo 2.59

=====

Entry from Alexandria via LeMat-Bulk: crystalline ThCdAgPb at its relaxed geometry (PBE-GGA).

Calculated values
ΔE_f, meV per atom: -31
Density, g/cm3: 10.66
Space-group type: F-43m
N(E_F), states/eV per cell: 10.19

Unit cell a=7.4358 b=7.4358 c=7.4358 alpha=90.00 beta=90.00 gamma=90.00
With the nearest neighbours (Å) after each atom.
Fractional positions:
Th 0.0000 0.0000 0.0000  4 Cd 3.22, 4 Ag 3.22
Th 0.0000 0.5000 0.5000  4 Cd 3.22, 4 Ag 3.22
Th 0.5000 0.0000 0.5000  4 Cd 3.22, 4 Ag 3.22
Th 0.5000 0.5000 0.0000  4 Cd 3.22, 4 Ag 3.22
Cd 0.2500 0.2500 0.7500  4 Pb 3.22, 4 Th 3.22
Cd 0.2500 0.7500 0.2500  4 Pb 3.22, 4 Th 3.22
Cd 0.7500 0.2500 0.2500  4 Pb 3.22, 4 Th 3.22
Cd 0.7500 0.7500 0.7500  4 Th 3.22, 4 Pb 3.22
Ag 0.2500 0.2500 0.2500  4 Pb 3.22, 4 Th 3.22
Ag 0.2500 0.7500 0.7500  4 Pb 3.22, 4 Th 3.22
Ag 0.7500 0.2500 0.7500  4 Pb 3.22, 4 Th 3.22
Ag 0.7500 0.7500 0.2500  4 Pb 3.22, 4 Th 3.22
Pb 0.0000 0.0000 0.5000  4 Ag 3.22, 4 Cd 3.22
Pb 0.0000 0.5000 0.0000  4 Ag 3.22, 4 Cd 3.22
Pb 0.5000 0.0000 0.0000  4 Ag 3.22, 4 Cd 3.22
Pb 0.5000 0.5000 0.5000  4 Cd 3.22, 4 Ag 3.22

=====

Entry from Alexandria via LeMat-Bulk: crystalline TlCr2 at its relaxed geometry (PBE-GGA).

Calculated values
Offset from the most stable computed form, meV/atom: 200
ΔE_f, meV per atom: 640
Density, g/cm3: 9.43
Space-group type: Cm
N(E_F), states/eV per cell: 10.10

Unit cell a=10.6377 b=3.0615 c=6.6912 alpha=90.00 beta=94.62 gamma=90.00
With the nearest neighbours (Å) after each atom.
Fractional positions:
Tl 0.0000 0.0000 0.0000  8 Cr 2.89-3.19, 2 Tl 3.06
Tl 0.2425 0.5000 0.3180  8 Cr 2.90-3.08, 2 Tl 3.06
Tl 0.5000 0.5000 0.0000  8 Cr 2.89-3.19, 2 Tl 3.06
Tl 0.7425 0.0000 0.3180  8 Cr 2.90-3.08, 2 Tl 3.06
Cr 0.0205 0.0000 0.4785  4 Cr 2.50-2.52
Cr 0.1447 0.5000 0.7134  4 Cr 2.49-2.50
Cr 0.2676 0.0000 0.9497  3 Cr 2.41-2.49
Cr 0.3705 0.0000 0.6422  3 Cr 2.41-2.52
Cr 0.5205 0.5000 0.4785  4 Cr 2.50-2.52
Cr 0.6447 0.0000 0.7134  4 Cr 2.49-2.50
Cr 0.7676 0.5000 0.9497  3 Cr 2.41-2.49
Cr 0.8705 0.5000 0.6422  3 Cr 2.41-2.52

=====

Entry from Alexandria via LeMat-Bulk: crystalline Cs2ICl2 at its relaxed geometry (PBE-GGA).

Calculated values
Offset from the most stable computed form, meV/atom: 0
Energy relative to the elements, uncorrected, eV per formula unit: -6.65
Density, g/cm3: 3.78
Space-group type: P4/mbm
N(E_F), states/eV per cell: 6.01

Unit cell a=10.3933 b=10.3933 c=3.7728 alpha=90.00 beta=90.00 gamma=90.00
With the nearest neighbours (Å) after each atom.
Fractional positions:
Cs 0.1553 0.3447 0.0000  6 Cl 3.58-3.59, 2 Cs 3.77, 2 I 3.93
Cs 0.3447 0.8447 0.0000  6 Cl 3.58-3.59, 2 Cs 3.77, 2 I 3.93
Cs 0.6553 0.1553 0.0000  6 Cl 3.58-3.59, 2 Cs 3.77, 2 I 3.93
Cs 0.8447 0.6553 0.0000  6 Cl 3.58-3.59, 2 Cs 3.77, 2 I 3.93
I 0.0000 0.0000 0.0000  2 I 3.77, 4 Cs 3.93
I 0.5000 0.5000 0.0000  2 I 3.77, 4 Cs 3.93
Cl 0.1371 0.6371 0.5000  6 Cs 3.58-3.59, 2 Cl 3.77
Cl 0.3629 0.1371 0.5000  6 Cs 3.58-3.59, 2 Cl 3.77
Cl 0.6371 0.8629 0.5000  6 Cs 3.58-3.59, 2 Cl 3.77
Cl 0.8629 0.3629 0.5000  6 Cs 3.58-3.59, 2 Cl 3.77

=====

Entry from Alexandria via LeMat-Bulk: crystalline SmEr3Th4S8 at its relaxed geometry (PBE-GGA).

Calculated values
Energy relative to the elements, uncorrected, eV per formula unit: -30.44
Density, g/cm3: 8.61
Space-group type: R-3m
N(E_F), states/eV per cell: 5.14

Unit cell a=8.0929 b=8.0929 c=8.0929 alpha=57.63 beta=57.63 gamma=57.63
With the nearest neighbours (Å) after each atom.
Fractional positions:
Sm 0.0000 0.0000 0.0000  6 S 2.78
Er 0.0000 0.5000 0.5000  6 S 2.73
Er 0.5000 0.0000 0.5000  6 S 2.73
Er 0.5000 0.5000 0.0000  6 S 2.73
Th 0.0000 0.0000 0.5000  6 S 2.89
Th 0.0000 0.5000 0.0000  6 S 2.89
Th 0.5000 0.0000 0.0000  6 S 2.89
Th 0.5000 0.5000 0.5000  6 S 2.84
S 0.2477 0.2477 0.7387  2 Er 2.73, 1 Sm 2.78, 3 Th 2.84-2.89
S 0.2477 0.7387 0.2477  2 Er 2.73, 1 Sm 2.78, 3 Th 2.84-2.89
S 0.2566 0.2566 0.2566  3 Er 2.73, 3 Th 2.89
S 0.2613 0.7523 0.7523  2 Er 2.73, 1 Sm 2.78, 3 Th 2.84-2.89
S 0.7387 0.2477 0.2477  2 Er 2.73, 1 Sm 2.78, 3 Th 2.84-2.89
S 0.7434 0.7434 0.7434  3 Er 2.73, 3 Th 2.89
S 0.7523 0.2613 0.7523  2 Er 2.73, 1 Sm 2.78, 3 Th 2.84-2.89
S 0.7523 0.7523 0.2613  2 Er 2.73, 1 Sm 2.78, 3 Th 2.84-2.89

=====

Entry from Alexandria via LeMat-Bulk: crystalline CsNpCu2Se4 at its relaxed geometry (PBE-GGA).

Calculated values
Energy relative to the elements, uncorrected, eV per formula unit: -4.05
Density, g/cm3: 4.95
Space-group type: I222
N(E_F), states/eV per cell: 20.16

Unit cell a=6.3916 b=8.8963 c=9.5964 alpha=90.00 beta=90.00 gamma=90.00
With the nearest neighbours (Å) after each atom.
Fractional positions:
Cs 0.0000 0.0000 0.0000  8 Se 3.75-3.84
Cs 0.5000 0.5000 0.5000  8 Se 3.75-3.84
Np 0.0000 0.0000 0.5000  4 Se 2.69
Np 0.5000 0.5000 0.0000  4 Se 2.69
Cu 0.0000 0.5000 0.1291  2 Se 2.29, 1 Cu 2.48
Cu 0.0000 0.5000 0.8709  2 Se 2.29, 1 Cu 2.48
Cu 0.5000 0.0000 0.3709  2 Se 2.29, 1 Cu 2.48
Cu 0.5000 0.0000 0.6291  2 Se 2.29, 1 Cu 2.48
Se 0.2375 0.1702 0.3315  1 Cu 2.29
Se 0.2375 0.8298 0.6685  1 Cu 2.29
Se 0.2625 0.3298 0.8315  1 Cu 2.29
Se 0.2625 0.6702 0.1685  1 Cu 2.29
Se 0.7375 0.3298 0.1685  1 Cu 2.29
Se 0.7375 0.6702 0.8315  1 Cu 2.29
Se 0.7625 0.1702 0.6685  1 Cu 2.29
Se 0.7625 0.8298 0.3315  1 Cu 2.29

=====

Entry from Alexandria via LeMat-Bulk: crystalline Na2Ag5Pd4 at its relaxed geometry (PBE-GGA).

Calculated values
ΔE_f, meV per atom: 21
Density, g/cm3: 8.12
Space-group type: C2/m
N(E_F), states/eV per cell: 3.98

Unit cell a=6.1418 b=6.1418 c=8.3626 alpha=121.34 beta=121.34 gamma=53.78
With the nearest neighbours (Å) after each atom.
Fractional positions:
Na 0.1958 0.1958 0.2476  4 Pd 2.70-2.92, 2 Ag 2.99
Na 0.8042 0.8042 0.7524  4 Pd 2.70-2.92, 2 Ag 2.99
Ag 0.2492 0.7365 0.3217  3 Ag 2.71-2.89, 3 Pd 2.74-2.90, 1 Na 2.99
Ag 0.2635 0.7508 0.6783  3 Ag 2.71-2.89, 3 Pd 2.74-2.90, 1 Na 2.99
Ag 0.5000 0.5000 0.0000  4 Pd 2.61-2.76
Ag 0.7365 0.2492 0.3217  3 Ag 2.71-2.89, 3 Pd 2.74-2.90, 1 Na 2.99
Ag 0.7508 0.2635 0.6783  3 Ag 2.71-2.89, 3 Pd 2.74-2.90, 1 Na 2.99
Pd 0.2368 0.2368 0.6251  5 Ag 2.76-3.04, 1 Pd 2.82, 3 Na 2.91-2.92
Pd 0.2503 0.2503 0.9718  5 Ag 2.61-2.90, 1 Na 2.70, 3 Pd 2.82
Pd 0.7497 0.7497 0.0282  5 Ag 2.61-2.90, 1 Na 2.70, 3 Pd 2.82
Pd 0.7632 0.7632 0.3749  5 Ag 2.76-3.04, 1 Pd 2.82, 3 Na 2.91-2.92

=====

Entry from Alexandria via LeMat-Bulk: crystalline LaZrAs2 at its relaxed geometry (PBE-GGA).

Calculated values
Offset from the most stable computed form, meV/atom: 638
ΔE_f, meV per atom: -701
Density, g/cm3: 6.66
Space-group type: I-4m2
N(E_F), states/eV per cell: 7.50

Unit cell a=4.1383 b=4.1383 c=11.0637 alpha=90.00 beta=90.00 gamma=90.00
With the nearest neighbours (Å) after each atom.
Fractional positions:
La 0.0000 0.0000 0.0000  4 As 2.93
La 0.5000 0.5000 0.5000  4 As 2.93
Zr 0.0000 0.5000 0.7500  4 As 2.93
Zr 0.5000 0.0000 0.2500  4 As 2.93
As 0.0000 0.0000 0.5000  4 La 2.93
As 0.0000 0.5000 0.2500  4 Zr 2.93
As 0.5000 0.0000 0.7500  4 Zr 2.93
As 0.5000 0.5000 0.0000  4 La 2.93

=====

Question: Look up the N(E_F) of the eighth one.
Answer: 20.16 states/eV per cell

=====

Question: Among the records above, which one has the highest density?
Answer: LaAgOs2

=====

Question: Among the records above, which one has the highest density?
Answer: LaAgOs2

=====

Question: Which value of N(E_F) does entry 10 give?
Answer: 7.50 states/eV per cell